1.
Here is Ag3RuAu after structural relaxation from Alexandria via LeMat-Bulk. Energies are from GGA-PBE.

abc: 5.037 5.037 5.037
angles: 90.00 90.00 90.00
Fractional coordinates of all 5 atoms:
Ag (0.000, 0.000, 0.500)
Ag (0.000, 0.500, 0.000)
Ag (0.500, 0.000, 0.000)
Ru (0.000, 0.000, 0.000)
Au (0.500, 0.500, 0.500)

Calculated values
**N(E_F)**: 0.5833 states/eV per atom
**Distance to the lowest polymorph of the same formula**: 0 meV per atom
**E_tot**: -2.835 eV/atom
**Calculated formation energy**: 1.386 eV/atom
**M_tot**: 0.444 μB/atom

2.
Here is Ca2WCl after structural relaxation from Alexandria via LeMat-Bulk. Energies are from GGA-PBE.

abc: 3.141 3.141 11.146
angles: 90.00 90.00 90.00
Fractional coordinates of all 4 atoms:
Ca (0.000, 0.000, 0.000)
Ca (0.500, 0.500, 0.308)
W (0.500, 0.500, 0.801)
Cl (0.000, 0.000, 0.448)

Calculated values
**N(E_F)**: 0.8371 states/eV per atom
**Distance to the lowest polymorph of the same formula**: 454 meV per atom
**E_tot**: -4.402 eV/atom
**Formation energy without anion corrections**: 0.30 eV/atom
**M_tot**: 0.001 μB/atom

3.
Here is CoRh2Cl after structural relaxation from Alexandria via LeMat-Bulk. Energies are from GGA-PBE.

abc: 8.207 8.207 8.207
angles: 20.06 20.06 20.06
Fractional coordinates of all 4 atoms:
Co (0.000, 0.000, 0.000)
Rh (0.252, 0.252, 0.252)
Rh (0.748, 0.748, 0.748)
Cl (0.500, 0.500, 0.500)

Calculated values
**N(E_F)**: 1.2528 states/eV per atom
**Distance to the lowest polymorph of the same formula**: 79 meV per atom
**E_tot**: -5.587 eV/atom
**Formation energy without anion corrections**: 0.33 eV/atom
**M_tot**: 0.636 μB/atom